No. 1
## NbNiHgBi (PBE)

Data for a geometry-optimized NbNiHgBi structure.

Values from the calculation:
Relative energy among the computed polymorphs = 138 meV per atom
Theoretical density = 11.41 g/cm³
Magnetization = 0.48 μB per atom
Crystal system = cubic
Total DFT energy (no corrections) = -17.6 eV per formula unit

Cell lengths 6.8863, 6.8863, 6.8863 Å; angles 90.00, 90.00, 90.00 degrees
Space group F-43m (No. 216)
One atom of each set of equivalent atoms:
1 Nb 0.0000 0.0000 0.0000 (multiplicity 4)
2 Ni 0.2500 0.2500 0.7500 (multiplicity 4)
3 Hg 0.2500 0.2500 0.2500 (multiplicity 4)
4 Bi 0.0000 0.0000 0.5000 (multiplicity 4)



No. 2
## NdHgBi (PBE)

Data for a geometry-optimized NdHgBi structure.

Values from the calculation:
Relative energy among the computed polymorphs = 0 meV per atom
Theoretical density = 8.76 g/cm³
Magnetization = 0.00 μB per atom
Crystal system = cubic
Total DFT energy (no corrections) = -10.5 eV per formula unit

Cell lengths 7.4898, 7.4898, 7.4898 Å; angles 90.00, 90.00, 90.00 degrees
Space group F-43m (No. 216)
One atom of each set of equivalent atoms:
1 Nd 0.0000 0.0000 0.0000 (multiplicity 4)
2 Hg 0.2500 0.2500 0.2500 (multiplicity 4)
3 Bi 0.2500 0.2500 0.7500 (multiplicity 4)



No. 3
## NdHgBi (PBE)

Data for a geometry-optimized NdHgBi structure.

Values from the calculation:
Relative energy among the computed polymorphs = 246 meV per atom
Theoretical density = 8.84 g/cm³
Magnetization = 0.00 μB per atom
Crystal system = cubic
Total DFT energy (no corrections) = -9.7 eV per formula unit

Cell lengths 7.4666, 7.4666, 7.4666 Å; angles 90.00, 90.00, 90.00 degrees
Space group F-43m (No. 216)
One atom of each set of equivalent atoms:
1 Nd 0.0000 0.0000 0.0000 (multiplicity 4)
2 Hg 0.0000 0.0000 0.5000 (multiplicity 4)
3 Bi 0.2500 0.2500 0.7500 (multiplicity 4)



No. 4
## NiHgBi (PBE)

Data for a geometry-optimized NiHgBi structure.

Values from the calculation:
Relative energy among the computed polymorphs = 0 meV per atom
Theoretical density = 11.73 g/cm³
Magnetization = 0.00 μB per atom
Crystal system = cubic
Total DFT energy (no corrections) = -9.7 eV per formula unit

Cell lengths 6.4240, 6.4240, 6.4240 Å; angles 90.00, 90.00, 90.00 degrees
Space group F-43m (No. 216)
One atom of each set of equivalent atoms:
1 Ni 0.0000 0.0000 0.0000 (multiplicity 4)
2 Hg 0.2500 0.2500 0.2500 (multiplicity 4)
3 Bi 0.2500 0.2500 0.7500 (multiplicity 4)